Below is crystalline Mo3Se2 at its relaxed geometry, with properties calculated at the GGA-PBEsol level.

Output
Formation energy (no corrections): 0.40 eV/atom

a = 4.097 Å, b = 4.097 Å, c = 5.635 Å
α = 90.00°, β = 90.00°, γ = 120.00°
Sites, in units of the cell vectors:
Mo 0.000 0.000 0.000
Mo 0.333 0.667 0.350
Mo 0.667 0.333 0.650
Se 0.333 0.667 0.792
Se 0.667 0.333 0.208

***

Below is crystalline CaSc2Ag at its relaxed geometry, with properties calculated at the GGA-PBEsol level.

Output
Formation energy from the elements: 0.1421 eV/atom

a = 3.183 Å, b = 5.482 Å, c = 6.227 Å
α = 114.57°, β = 102.33°, γ = 95.48°
Sites, in units of the cell vectors:
Sc 0.000 0.000 0.500
Sc 0.500 0.500 0.500
Ca 0.000 0.500 0.000
Ag 0.500 0.000 0.000

***

Below is crystalline Zn2OsRu at its relaxed geometry, with properties calculated at the GGA-PBEsol level.

Output
Formation energy from the elements: 0.2432 eV/atom

a = 2.645 Å, b = 4.328 Å, c = 4.787 Å
α = 90.00°, β = 94.42°, γ = 90.00°
Sites, in units of the cell vectors:
Os 0.500 0.500 0.000
Ru 0.000 0.500 0.500
Zn 0.750 0.000 0.747
Zn 0.250 0.000 0.253

***

Below is crystalline K2RbSi2 at its relaxed geometry, with properties calculated at the GGA-PBEsol level.

Output
Formation energy (no corrections): 0.18 eV/atom

a = 5.417 Å, b = 5.417 Å, c = 7.466 Å
α = 111.27°, β = 111.27°, γ = 90.00°
Sites, in units of the cell vectors:
K 0.250 0.750 0.500
K 0.750 0.250 0.500
Si 0.414 0.414 0.829
Si 0.586 0.586 0.171
Rb 0.000 0.000 0.000